Record 1
First-principles (PBE) data for a relaxed structure of Rb4Nd3PuSe8, as listed in Alexandria.

```
16
Lattice="4.374 2.525 8.003 -4.374 2.525 8.003 0.000 -5.050 8.003" Properties=species:S:1:pos:R:3 pbc="T T T"
Rb 0.000 0.000 0.000
Rb -2.187 -1.263 8.003
Rb -2.187 1.263 16.006
Rb 0.000 2.525 8.003
Nd -4.374 0.000 12.004
Nd -2.187 1.263 4.001
Nd 2.187 1.263 4.001
Pu 0.000 0.000 12.004
Se 0.000 0.000 5.617
Se -2.165 -1.250 13.593
Se 0.000 -2.500 10.416
Se -2.165 1.250 10.416
Se 2.165 -1.250 13.593
Se 0.000 2.500 13.593
Se 2.165 1.250 10.416
Se 0.000 0.000 18.391
```

- volume (Å³ per cell) = 530
- total magnetization (μB/f.u.) = 5.00
- DOS at the Fermi energy (states/eV/cell) = 12.85
- energy (eV per atom) = -5.426
- SG = R-3m, No. 166
- uncorrected formation energy (meV/atom) = -1651.8
- ρ (g cm⁻³) = 5.167

Record 2
First-principles (PBE) data for a relaxed structure of La2HoSn, as listed in Alexandria.

```
4
Lattice="4.345 0.000 0.000 0.000 4.345 0.000 0.000 0.000 6.827" Properties=species:S:1:pos:R:3 pbc="T T T"
La 0.000 0.000 1.554
La 0.000 0.000 5.273
Ho 2.172 2.172 3.414
Sn 2.172 2.172 0.000
```

- volume (Å³ per cell) = 129
- total magnetization (μB/f.u.) = 0.00
- calculated formation energy (kJ per mole of atoms) = -37
- DOS at the Fermi energy (states/eV/cell) = 4.00
- energy (eV per atom) = -4.992
- SG = P4/mmm, No. 123
- E above lowest polymorph (eV per formula unit) = 0.26
- ρ (g cm⁻³) = 7.234

Record 3
First-principles (PBE) data for a relaxed structure of TaCr2Tc, as listed in Alexandria.

```
4
Lattice="1.443 0.833 8.042 -1.443 0.833 8.042 0.000 -1.666 8.042" Properties=species:S:1:pos:R:3 pbc="T T T"
Ta 0.000 0.000 0.000
Cr 0.000 0.000 5.957
Cr 0.000 0.000 18.170
Tc 0.000 0.000 12.064
```

- volume (Å³ per cell) = 58
- total magnetization (μB/f.u.) = 0.00
- calculated formation energy (kJ per mole of atoms) = 33
- DOS at the Fermi energy (states/eV/cell) = 5.02
- energy (eV per atom) = -10.023
- SG = R-3m, No. 166
- E above lowest polymorph (eV per formula unit) = 1.61
- ρ (g cm⁻³) = 10.965

Record 4
First-principles (PBE) data for a relaxed structure of Ti2NbGa, as listed in Alexandria.

```
4
Lattice="4.247 0.000 0.000 0.000 4.247 0.000 0.000 0.000 3.675" Properties=species:S:1:pos:R:3 pbc="T T T"
Ti 0.000 2.123 0.000
Ti 2.123 0.000 0.000
Nb 0.000 0.000 1.838
Ga 2.123 2.123 1.838
```

- volume (Å³ per cell) = 66
- total magnetization (μB/f.u.) = 0.00
- calculated formation energy (kJ per mole of atoms) = -28
- DOS at the Fermi energy (states/eV/cell) = 6.52
- energy (eV per atom) = -7.513
- SG = P4/mmm, No. 123
- ρ (g cm⁻³) = 6.472

Record 5
First-principles (PBE) data for a relaxed structure of TlAgOs2, as listed in Alexandria.

```
4
Lattice="1.446 0.835 9.378 -1.446 0.835 9.378 0.000 -1.670 9.378" Properties=species:S:1:pos:R:3 pbc="T T T"
Tl 0.000 0.000 0.000
Ag 0.000 0.000 14.067
Os 0.000 0.000 7.010
Os 0.000 0.000 21.123
```

- volume (Å³ per cell) = 68
- total magnetization (μB/f.u.) = 0.00
- calculated formation energy (kJ per mole of atoms) = 100
- DOS at the Fermi energy (states/eV/cell) = 3.01
- energy (eV per atom) = -5.886
- SG = R-3m, No. 166
- E above lowest polymorph (eV per formula unit) = 2.08
- ρ (g cm⁻³) = 16.935

Record 6
First-principles (PBE) data for a relaxed structure of Li2DyTiS4, as listed in Alexandria.

```
8
Lattice="6.452 0.000 0.000 0.000 3.707 0.000 -2.148 0.000 6.145" Properties=species:S:1:pos:R:3 pbc="T T T"
Li 0.000 0.000 0.000
Li 3.226 1.853 0.000
Dy -1.074 1.853 3.072
Ti 2.152 0.000 3.072
S 0.132 0.000 4.604
S 1.190 1.853 1.608
S 3.114 1.853 4.537
S 4.172 0.000 1.541
```

- volume (Å³ per cell) = 147
- total magnetization (μB/f.u.) = 0.98
- DOS at the Fermi energy (states/eV/cell) = 3.28
- energy (eV per atom) = -5.679
- SG = P2/m, No. 10
- uncorrected formation energy (meV/atom) = -1574.4
- ρ (g cm⁻³) = 3.983

The lowest energy belongs to which entry? TaCr2Tc

Among the records above, which one has the lowest DOS at the Fermi energy? TlAgOs2